(1)
First-principles (GGA-PBE) data for Li4HfHg5 after structural relaxation, as listed in Alexandria via LeMat-Bulk.

Summary:
Total DFT energy (no corrections) (eV/atom): -2.19
D(E_F) (states/eV/f.u.): 4.553

a = 3.273 Å, b = 3.273 Å, c = 17.545 Å
α = 90.00°, β = 90.00°, γ = 90.00°
Space group P4/mmm (No. 123)
Unique sites:
Li 0.000 0.000 0.097
Li 0.000 0.000 0.292
Hf 0.000 0.000 0.500
Hg 0.500 0.500 0.000
Hg 0.500 0.500 0.195
Hg 0.500 0.500 0.386



(2)
First-principles (GGA-PBE) data for TbPmCu2Se4 after structural relaxation, as listed in Alexandria via LeMat-Bulk.

Summary:
D(E_F) (states/eV/f.u.): 0.870
Formation energy without anion corrections (eV per atom): -1.0528

a = 6.845 Å, b = 6.935 Å, c = 8.000 Å
α = 90.00°, β = 90.00°, γ = 90.00°
Space group I222 (No. 23)
Unique sites:
Tb 0.000 0.000 0.000
Pm 0.000 0.000 0.500
Cu 0.000 0.500 0.343
Se 0.249 0.267 0.308



(3)
First-principles (GGA-PBE) data for Ca2CdGa7 after structural relaxation, as listed in Alexandria via LeMat-Bulk.

Summary:
Total DFT energy (no corrections) (eV/atom): -2.95
D(E_F) (states/eV/f.u.): 3.128

a = 4.353 Å, b = 4.353 Å, c = 11.136 Å
α = 90.00°, β = 90.00°, γ = 90.00°
Space group P-4m2 (No. 115)
Unique sites:
Ca 0.000 0.500 0.245
Cd 0.000 0.000 0.500
Ga 0.000 0.000 0.000
Ga 0.000 0.500 0.644
Ga 0.000 0.500 0.867
Ga 0.500 0.500 0.000
Ga 0.500 0.500 0.500



(4)
First-principles (GGA-PBE) data for TbSmEr2As4 after structural relaxation, as listed in Alexandria via LeMat-Bulk.

Summary:
Total DFT energy (no corrections) (eV/atom): -6.16
D(E_F) (states/eV/f.u.): 0.944

a = 7.151 Å, b = 4.132 Å, c = 7.153 Å
α = 90.00°, β = 109.47°, γ = 90.00°
Space group P2/m (No. 10)
Unique sites:
Tb 0.000 0.000 0.000
Sm 0.000 0.500 0.500
Er 0.500 0.000 0.500
Er 0.500 0.500 0.000
As 0.255 0.500 0.250
As 0.257 0.000 0.754



(5)
First-principles (GGA-PBE) data for Rb2BaCrI6 after structural relaxation, as listed in Alexandria via LeMat-Bulk.

Summary:
D(E_F) (states/eV/f.u.): 6.635
Formation energy without anion corrections (eV per atom): -1.1281

a = 8.807 Å, b = 8.807 Å, c = 12.448 Å
α = 90.00°, β = 90.00°, γ = 90.00°
Space group I4/mmm (No. 139)
Unique sites:
Rb 0.000 0.500 0.250
Ba 0.000 0.000 0.000
Cr 0.000 0.000 0.500
I 0.000 0.000 0.270
I 0.230 0.230 0.500



(6)
First-principles (GGA-PBE) data for Pr6SiIr2I3 after structural relaxation, as listed in Alexandria via LeMat-Bulk.

Summary:
D(E_F) (states/eV/f.u.): 8.925
Formation energy without anion corrections (eV per atom): -0.9077

a = 7.452 Å, b = 12.902 Å, c = 8.445 Å
α = 90.00°, β = 107.13°, γ = 90.00°
Space group C2/m (No. 12)
Unique sites:
Pr 0.217 0.000 0.188
Pr 0.235 0.327 0.189
Si 0.000 0.500 0.000
Ir 0.000 0.167 0.000
I 0.000 0.000 0.500
I 0.000 0.338 0.500



(7)
First-principles (GGA-PBE) data for Ho2Al4ZnPt3 after structural relaxation, as listed in Alexandria via LeMat-Bulk.

Summary:
Total DFT energy (no corrections) (eV/atom): -5.31
D(E_F) (states/eV/f.u.): 5.170

a = 4.154 Å, b = 4.154 Å, c = 10.722 Å
α = 90.00°, β = 90.00°, γ = 90.00°
Space group P-4m2 (No. 115)
Unique sites:
Ho 0.000 0.500 0.247
Al 0.000 0.000 0.000
Al 0.000 0.500 0.634
Al 0.500 0.500 0.000
Zn 0.000 0.000 0.500
Pt 0.000 0.500 0.864
Pt 0.500 0.500 0.500



(8)
First-principles (GGA-PBE) data for Nd2CoH after structural relaxation, as listed in Alexandria via LeMat-Bulk.

Summary:
Total DFT energy (no corrections) (eV/atom): -5.06
D(E_F) (states/eV/f.u.): 1.500

a = 3.7766 Å, b = 3.7766 Å, c = 20.5056 Å
α = 90.00°, β = 90.00°, γ = 120.00°
Space group R3m (No. 160, hexagonal axes)
Unique sites:
Nd 0.0000 0.0000 0.0000
Nd 0.0000 0.0000 0.1734
Co 0.0000 0.0000 0.5864
H 0.0000 0.0000 0.4172



(9)
First-principles (GGA-PBE) data for Ac4Ag5Pd2 after structural relaxation, as listed in Alexandria via LeMat-Bulk.

Summary:
Total DFT energy (no corrections) (eV/atom): -4.16
D(E_F) (states/eV/f.u.): 6.983

a = 7.802 Å, b = 4.297 Å, c = 9.087 Å
α = 90.00°, β = 90.21°, γ = 90.00°
Space group P2/m (No. 10)
Unique sites:
Ac 0.219 0.000 0.354
Ac 0.237 0.000 0.893
Ag 0.141 0.500 0.617
Ag 0.439 0.500 0.150
Ag 0.500 0.500 0.500
Pd 0.076 0.500 0.137



(10)
First-principles (GGA-PBE) data for Tb3NdTm after structural relaxation, as listed in Alexandria via LeMat-Bulk.

Summary:
Total DFT energy (no corrections) (eV/atom): -4.29
D(E_F) (states/eV/f.u.): 8.912

a = 3.631 Å, b = 11.648 Å, c = 8.525 Å
α = 90.00°, β = 102.23°, γ = 90.00°
Space group P2_1/m (No. 11)
Unique sites:
Tb 0.144 0.250 0.285
Tb 0.348 0.501 0.697
Nd 0.192 0.750 0.387
Tm 0.481 0.250 0.958



(11)
First-principles (GGA-PBE) data for NbVPd3 after structural relaxation, as listed in Alexandria via LeMat-Bulk.

Summary:
Total DFT energy (no corrections) (eV/atom): -7.05
D(E_F) (states/eV/f.u.): 5.311

a = 5.3307 Å, b = 5.3307 Å, c = 19.8273 Å
α = 90.00°, β = 90.00°, γ = 120.00°
Space group R-3m (No. 166, hexagonal axes)
Unique sites:
Nb 0.0000 0.0000 0.0649
V 0.0000 0.0000 0.3338
Pd 0.0019 0.5010 0.8911



(12)
First-principles (GGA-PBE) data for Tl2Cd after structural relaxation, as listed in Alexandria via LeMat-Bulk.

Summary:
Total DFT energy (no corrections) (eV/atom): -1.85
D(E_F) (states/eV/f.u.): 1.353

a = 7.848 Å, b = 7.848 Å, c = 5.699 Å
α = 90.00°, β = 90.00°, γ = 90.00°
Space group I4/mcm (No. 140)
Unique sites:
Tl 0.150 0.350 0.000
Cd 0.000 0.000 0.250